# 1
Here is RbTiTe2I after structural relaxation from the Alexandria database. Energies are from PBE.

Cell lengths 5.3922, 5.3922, 6.0902 Å; angles 90.00, 90.00, 90.00 degrees
With the nearest neighbours (Å) after each atom.
Atoms (fractional coordinates):
Rb: 0.0000 0.0000 0.0000  4 I 3.81, 8 Te 4.07
Ti: 0.5000 0.5000 0.5000  4 Te 2.70
Te: 0.0000 0.5000 0.5000  2 Ti 2.70
Te: 0.5000 0.0000 0.5000  2 Ti 2.70
I: 0.5000 0.5000 0.0000  2 Ti 3.05

Output
* spin magnetization: 0.39 μB/f.u.
* uncorrected energy: -20.34 eV/cell
* formation energy without anion corrections: -0.73 eV/atom

***

# 2
Here is RbTl2TeI8 after structural relaxation from the Alexandria database. Energies are from PBE.

Cell lengths 6.9495, 8.2813, 10.7379 Å; angles 90.02, 90.29, 90.14 degrees
With the nearest neighbours (Å) after each atom.
Atoms (fractional coordinates):
Rb: 0.0000 0.0000 0.0000  4 I 3.78-3.79
Tl: 0.4978 0.4998 0.7185  6 I 3.45-3.52
Tl: 0.5022 0.5002 0.2815  6 I 3.45-3.52
Te: 0.0000 0.0000 0.5000  6 I 2.97-2.98
I: 0.2169 0.6909 0.4978  1 Te 2.97
I: 0.2414 0.1386 0.2980  1 Te 2.98
I: 0.2421 0.5098 0.0000  2 I 3.37-3.59, 2 Tl 3.52
I: 0.2453 0.1343 0.7035  1 Te 2.98
I: 0.7547 0.8657 0.2965  1 Te 2.98
I: 0.7579 0.4902 0.0000  2 I 3.37-3.59, 2 Tl 3.52
I: 0.7586 0.8614 0.7020  1 Te 2.98
I: 0.7831 0.3091 0.5022  1 Te 2.97

Output
* spin magnetization: 0.00 μB/f.u.
* uncorrected energy: -26.77 eV/cell
* formation energy without anion corrections: -0.46 eV/atom

***

# 3
Here is Rb2UTe2I4 after structural relaxation from the Alexandria database. Energies are from PBE.

Cell lengths 8.1686, 8.1686, 7.1899 Å; angles 98.58, 98.58, 61.21 degrees
With the nearest neighbours (Å) after each atom.
Atoms (fractional coordinates):
Rb: 0.1787 0.1787 0.2279  6 I 3.83-4.24, 3 Te 3.84-4.18
Rb: 0.8213 0.8213 0.7721  6 I 3.83-4.24, 3 Te 3.84-4.18
U: 0.5000 0.5000 0.0000  2 Te 2.79, 4 I 2.98
Te: 0.3347 0.3347 0.7217  1 U 2.79
Te: 0.6653 0.6653 0.2783  1 U 2.79
I: 0.1627 0.6665 0.2159  1 U 2.98
I: 0.3335 0.8373 0.7841  1 U 2.98
I: 0.6665 0.1627 0.2159  1 U 2.98
I: 0.8373 0.3335 0.7841  1 U 2.98

Output
* spin magnetization: 0.09 μB/f.u.
* uncorrected energy: -33.60 eV/cell
* formation energy without anion corrections: -0.88 eV/atom

***

# 4
Here is Rb2TeWI6 after structural relaxation from the Alexandria database. Energies are from PBE.

Cell lengths 8.6298, 8.6298, 8.6298 Å; angles 116.51, 116.51, 96.16 degrees
With the nearest neighbours (Å) after each atom.
Atoms (fractional coordinates):
Rb: 0.2500 0.7500 0.5000  12 I 4.33-4.54
Rb: 0.7500 0.2500 0.5000  12 I 4.33-4.54
Te: 0.0000 0.0000 0.0000  2 I 2.97
W: 0.5000 0.5000 0.0000  6 I 2.79-2.80
I: 0.2575 0.2575 0.0000  1 W 2.80, 1 Te 2.97
I: 0.2825 0.2825 0.5649  1 W 2.79
I: 0.2825 0.7175 0.0000  1 W 2.79
I: 0.7175 0.2825 0.0000  1 W 2.79
I: 0.7175 0.7175 0.4351  1 W 2.79
I: 0.7425 0.7425 0.0000  1 W 2.80, 1 Te 2.97

Output
* spin magnetization: 1.90 μB/f.u.
* uncorrected energy: -31.15 eV/cell
* formation energy without anion corrections: -0.38 eV/atom

***

# 5
Here is RbYTe2I after structural relaxation from the Alexandria database. Energies are from PBE.

Cell lengths 5.9095, 5.9095, 6.2483 Å; angles 90.00, 90.00, 90.00 degrees
With the nearest neighbours (Å) after each atom.
Atoms (fractional coordinates):
Rb: 0.0000 0.0000 0.0000  4 I 4.18, 8 Te 4.30
Y: 0.5000 0.5000 0.5000  4 Te 2.95, 2 I 3.12
Te: 0.0000 0.5000 0.5000  2 Y 2.95
Te: 0.5000 0.0000 0.5000  2 Y 2.95
I: 0.5000 0.5000 0.0000  2 Y 3.12

Output
* relative energy among the computed polymorphs: 0 meV/atom
* spin magnetization: 0.00 μB/f.u.
* uncorrected energy: -20.63 eV/cell
* formation energy without anion corrections: -1.07 eV/atom

***

# 6
Here is RbYTeI2 after structural relaxation from the Alexandria database. Energies are from PBE.

Cell lengths 6.2009, 6.2009, 6.3995 Å; angles 90.00, 90.00, 90.00 degrees
With the nearest neighbours (Å) after each atom.
Atoms (fractional coordinates):
Rb: 0.0000 0.0000 0.0000  4 I 3.10, 2 Te 3.20
Y: 0.5000 0.5000 0.5000  4 Te 4.38, 8 I 4.46
Te: 0.0000 0.0000 0.5000  2 Rb 3.20
I: 0.0000 0.5000 0.0000  2 Rb 3.10
I: 0.5000 0.0000 0.0000  2 Rb 3.10

Output
* relative energy among the computed polymorphs: 1415 meV/atom
* spin magnetization: 0.05 μB/f.u.
* uncorrected energy: -13.08 eV/cell
* formation energy without anion corrections: 0.12 eV/atom

***

# 7
Here is RbYTe2I after structural relaxation from the Alexandria database. Energies are from PBE.

Cell lengths 6.0990, 6.0990, 6.0732 Å; angles 90.00, 90.00, 90.00 degrees
With the nearest neighbours (Å) after each atom.
Atoms (fractional coordinates):
Rb: 0.0000 0.0000 0.0000  2 I 3.04, 4 Te 3.05
Y: 0.5000 0.5000 0.5000  8 Te 4.30, 4 I 4.31
Te: 0.0000 0.5000 0.0000  2 Rb 3.05
Te: 0.5000 0.0000 0.0000  2 Rb 3.05
I: 0.0000 0.0000 0.5000  2 Rb 3.04

Output
* relative energy among the computed polymorphs: 1429 meV/atom
* spin magnetization: 0.00 μB/f.u.
* uncorrected energy: -13.49 eV/cell
* formation energy without anion corrections: 0.36 eV/atom

***

# 8
Here is RbYTeI2 after structural relaxation from the Alexandria database. Energies are from PBE.

Cell lengths 6.1466, 6.1466, 5.9048 Å; angles 90.00, 90.00, 90.00 degrees
With the nearest neighbours (Å) after each atom.
Atoms (fractional coordinates):
Rb: 0.0000 0.0000 0.0000  8 I 4.26, 4 Te 4.35
Y: 0.5000 0.5000 0.5000  2 Te 2.95, 4 I 3.07
Te: 0.5000 0.5000 0.0000  2 Y 2.95
I: 0.0000 0.5000 0.5000  2 Y 3.07
I: 0.5000 0.0000 0.5000  2 Y 3.07

Output
* relative energy among the computed polymorphs: 0 meV/atom
* spin magnetization: 0.00 μB/f.u.
* uncorrected energy: -20.16 eV/cell
* formation energy without anion corrections: -1.30 eV/atom

***

> Which value of uncorrected energy does entry 4 give?

-31.15 eV/cell